First-principles (GGA-PBE) data for a relaxed Ba5Ta2Cl2O9 crystal, as listed in Alexandria via LeMat-Bulk.

**SG**: P6_3/mmc, No. 194
**D(E_F)**: 0.00 states/eV/cell

Cell: 6.0440 6.0440 25.1268 Å, 90.00 90.00 120.00°
Fractional coordinates of all 36 atoms:
Ba 0.3333 0.6667 0.4181
Ba 0.3333 0.6667 0.0819
Ba 0.3333 0.6667 0.8277
Ba 0.6667 0.3333 0.5819
Ba 0.6667 0.3333 0.9181
Ba 0.6667 0.3333 0.3277
Ba 0.6667 0.3333 0.1723
Ba 0.3333 0.6667 0.2500
Ba 0.6667 0.3333 0.7500
Ba 0.3333 0.6667 0.6723
Ta 0.0000 0.0000 0.8103
Ta 0.0000 0.0000 0.3103
Ta 0.0000 0.0000 0.1897
Ta 0.0000 0.0000 0.6897
Cl 0.3333 0.6667 0.5469
Cl 0.3333 0.6667 0.9531
Cl 0.6667 0.3333 0.0469
Cl 0.6667 0.3333 0.4531
O 0.1620 0.3241 0.1552
O 0.7043 0.8521 0.7500
O 0.8380 0.6759 0.6552
O 0.8521 0.1479 0.2500
O 0.1620 0.8380 0.3448
O 0.1620 0.8380 0.1552
O 0.8380 0.1620 0.6552
O 0.3241 0.1620 0.6552
O 0.8380 0.1620 0.8448
O 0.8521 0.7043 0.2500
O 0.2957 0.1479 0.2500
O 0.3241 0.1620 0.8448
O 0.1479 0.2957 0.7500
O 0.8380 0.6759 0.8448
O 0.1620 0.3241 0.3448
O 0.6759 0.8380 0.1552
O 0.1479 0.8521 0.7500
O 0.6759 0.8380 0.3448

---

First-principles (GGA-PBE) data for a relaxed BaTbClO2 crystal, as listed in Alexandria via LeMat-Bulk.

**SG**: P4mm, No. 99
**D(E_F)**: 0.00 states/eV/cell

Cell: 4.2639 4.2639 6.6318 Å, 90.00 90.00 90.00°
Fractional coordinates of all 5 atoms:
Ba 0.5000 0.5000 0.6943
Tb 0.0000 0.0000 0.0262
Cl 0.0000 0.0000 0.4398
O 0.0000 0.5000 0.9198
O 0.5000 0.0000 0.9198

---

First-principles (GGA-PBE) data for a relaxed Ba2TbCl2O2 crystal, as listed in Alexandria via LeMat-Bulk.

**SG**: I4/mmm, No. 139
**D(E_F)**: 4.45 states/eV/cell

Cell: 4.5504 4.5504 8.6432 Å, 105.26 105.26 90.00°
Fractional coordinates of all 7 atoms:
Ba 0.3835 0.3835 0.7670
Ba 0.6165 0.6165 0.2330
Tb 0.0000 0.0000 0.0000
Cl 0.1789 0.1789 0.3578
Cl 0.8211 0.8211 0.6422
O 0.0000 0.5000 0.0000
O 0.5000 0.0000 0.0000

---

First-principles (GGA-PBE) data for a relaxed Ba2TcCl4O2 crystal, as listed in Alexandria via LeMat-Bulk.

**SG**: C2/m, No. 12

Cell: 5.1727 6.6252 6.6252 Å, 71.71 83.16 83.16°
Fractional coordinates of all 9 atoms:
Ba 0.1943 0.6891 0.6891
Ba 0.8057 0.3109 0.3109
Tc 0.5000 0.0000 0.0000
Cl 0.2838 0.6226 0.1691
Cl 0.7162 0.8309 0.3774
Cl 0.7162 0.3774 0.8309
Cl 0.2838 0.1691 0.6226
O 0.2432 0.1298 0.1298
O 0.7568 0.8702 0.8702

---

First-principles (GGA-PBE) data for a relaxed BaTeClO3 crystal, as listed in Alexandria via LeMat-Bulk.

**SG**: C2/c, No. 15
**D(E_F)**: 1.05 states/eV/cell

Cell: 6.3019 5.1257 9.2765 Å, 73.96 86.50 77.22°
Fractional coordinates of all 12 atoms:
Ba 0.2500 0.3400 0.3199
Ba 0.7500 0.6600 0.6801
Te 0.7500 0.0046 0.9907
Te 0.2500 0.9954 0.0093
Cl 0.2500 0.7083 0.5834
Cl 0.7500 0.2917 0.4166
O 0.5482 0.7490 0.9854
O 0.9518 0.2656 0.9854
O 0.7500 0.1089 0.7821
O 0.4518 0.2510 0.0146
O 0.0482 0.7344 0.0146
O 0.2500 0.8911 0.2179

---

First-principles (GGA-PBE) data for a relaxed Ba4Te2ClO2 crystal, as listed in Alexandria via LeMat-Bulk.

**SG**: C2/m, No. 12
**D(E_F)**: 2.49 states/eV/cell

Cell: 4.6106 8.4999 8.6474 Å, 109.91 105.46 90.00°
Fractional coordinates of all 9 atoms:
Ba 0.2161 0.1534 0.4322
Ba 0.7839 0.8466 0.5678
Ba 0.5301 0.7650 0.0602
Ba 0.4699 0.2350 0.9398
Te 0.1120 0.5342 0.2240
Te 0.8880 0.4658 0.7760
Cl 0.0000 0.0000 0.0000
O 0.6716 0.9903 0.3433
O 0.3284 0.0097 0.6567

---

First-principles (GGA-PBE) data for a relaxed BaTlClO crystal, as listed in Alexandria via LeMat-Bulk.

**SG**: P3m1, No. 156
**D(E_F)**: 0.00 states/eV/cell

Cell: 4.2900 4.2902 7.7922 Å, 90.05 90.02 60.00°
Fractional coordinates of all 4 atoms:
Ba 0.0214 0.9827 0.1480
Tl 0.3547 0.3168 0.7197
Cl 0.6880 0.6498 0.4124
O 0.3548 0.3158 0.0170

---

First-principles (GGA-PBE) data for a relaxed Ba2TlCl2O2 crystal, as listed in Alexandria via LeMat-Bulk.

**SG**: I4/mmm, No. 139
**D(E_F)**: 2.11 states/eV/cell

Cell: 4.6488 4.6488 8.7261 Å, 105.45 105.45 90.00°
Fractional coordinates of all 7 atoms:
Ba 0.3883 0.3883 0.7767
Ba 0.6117 0.6117 0.2233
Tl 0.0000 0.0000 0.0000
Cl 0.1901 0.1901 0.3802
Cl 0.8099 0.8099 0.6198
O 0.0000 0.5000 0.0000
O 0.5000 0.0000 0.0000

---

Number 1: uncorrected formation energy -52.093 eV/f.u.. Number 2: uncorrected formation energy -14.771 eV/f.u.. Number 3: uncorrected formation energy -17.607 eV/f.u.. Number 4: uncorrected formation energy -16.542 eV/f.u.. Number 5: uncorrected formation energy -9.372 eV/f.u.. Number 6: uncorrected formation energy -18.790 eV/f.u.. Number 7: uncorrected formation energy -6.970 eV/f.u.. Number 8: uncorrected formation energy -13.606 eV/f.u..